# CoOsPb2 PBE relaxed
data_CoOsPb2
_chemical_formula_sum 'Co1 Os1 Pb2'
_space_group_name_H-M_alt 'P 4/m m m'
_space_group_IT_number 123
_space_group_name_Hall '-P 4 2'
_cell_length_a 3.334
_cell_length_b 3.334
_cell_length_c 6.660
_cell_angle_alpha 90.00
_cell_angle_beta 90.00
_cell_angle_gamma 90.00
loop_
_atom_site_label
_atom_site_type_symbol
_atom_site_fract_x
_atom_site_fract_y
_atom_site_fract_z
Co1 Co 0.000 0.000 0.000
Os1 Os 0.000 0.000 0.500
Pb1 Pb 0.500 0.500 0.245
# Energy above the lowest structure with this stoichiometry in eV per atom: 0.358
# Formation energy in eV per atom: 0.842
# Fermi-level density of states in states/eV/f.u.: 1.9

# CoOs2Pb PBE relaxed
data_CoOs2Pb
_chemical_formula_sum 'Co1 Os2 Pb1'
_space_group_name_H-M_alt 'P 4 m m'
_space_group_IT_number 99
_cell_length_a 2.922
_cell_length_b 2.922
_cell_length_c 7.507
_cell_angle_alpha 90.00
_cell_angle_beta 90.00
_cell_angle_gamma 90.00
loop_
_space_group_symop_operation_xyz
'x,y,z'
'-y,x,z'
'-x,-y,z'
'y,-x,z'
'-x,y,z'
'y,x,z'
'x,-y,z'
'-y,-x,z'
loop_
_atom_site_label
_atom_site_type_symbol
_atom_site_fract_x
_atom_site_fract_y
_atom_site_fract_z
Co1 Co 0.000 0.000 0.000
Os1 Os 0.000 0.000 0.435
Os2 Os 0.500 0.500 0.218
Pb1 Pb 0.500 0.500 0.736
# Formation energy in eV per atom: 0.632
# Fermi-level density of states in states/eV/f.u.: 4.0

# CoOsPb2 PBE relaxed
data_CoOsPb2
_chemical_formula_sum 'Co2 Os2 Pb4'
_space_group_name_H-M_alt 'I -4 m 2'
_space_group_IT_number 119
_space_group_name_Hall 'I -4 -2'
_cell_length_a 3.955
_cell_length_b 3.955
_cell_length_c 9.685
_cell_angle_alpha 90.00
_cell_angle_beta 90.00
_cell_angle_gamma 90.00
loop_
_atom_site_label
_atom_site_type_symbol
_atom_site_fract_x
_atom_site_fract_y
_atom_site_fract_z
Co1 Co 0.000 0.000 0.000
Os1 Os 0.000 0.500 0.750
Pb1 Pb 0.000 0.000 0.500
Pb2 Pb 0.000 0.500 0.250
# Energy above the lowest structure with this stoichiometry in eV per atom: 0.499
# Formation energy in eV per atom: 0.982
# Fermi-level density of states in states/eV/f.u.: 6.1

# Co2OsPb PBE relaxed
data_Co2OsPb
_chemical_formula_sum 'Co2 Os1 Pb1'
_space_group_name_H-M_alt 'P m m 2'
_space_group_IT_number 25
_cell_length_a 2.937
_cell_length_b 3.126
_cell_length_c 6.698
_cell_angle_alpha 90.00
_cell_angle_beta 90.00
_cell_angle_gamma 90.00
loop_
_space_group_symop_operation_xyz
'x,y,z'
'-x,-y,z'
'-x,y,z'
'x,-y,z'
loop_
_atom_site_label
_atom_site_type_symbol
_atom_site_fract_x
_atom_site_fract_y
_atom_site_fract_z
Co1 Co 0.000 0.000 0.000
Co2 Co 0.500 0.500 0.190
Os1 Os 0.000 0.000 0.384
Pb1 Pb 0.500 0.500 0.711
# Formation energy in eV per atom: 0.653
# Fermi-level density of states in states/eV/f.u.: 5.5

# CoOsPb2 PBE relaxed
data_CoOsPb2
_chemical_formula_sum 'Co4 Os4 Pb8'
_space_group_name_H-M_alt 'F m -3 m'
_space_group_IT_number 225
_space_group_name_Hall '-F 4 2 3'
_cell_length_a 6.676
_cell_length_b 6.676
_cell_length_c 6.676
_cell_angle_alpha 90.00
_cell_angle_beta 90.00
_cell_angle_gamma 90.00
loop_
_atom_site_label
_atom_site_type_symbol
_atom_site_fract_x
_atom_site_fract_y
_atom_site_fract_z
Co1 Co 0.000 0.000 0.000
Os1 Os 0.000 0.000 0.500
Pb1 Pb 0.250 0.250 0.250
# Energy above the lowest structure with this stoichiometry in eV per atom: 0.367
# Formation energy in eV per atom: 0.851
# Fermi-level density of states in states/eV/f.u.: 2.1

# CoOs2Pb PBE relaxed
data_CoOs2Pb
_chemical_formula_sum 'Co1 Os2 Pb1'
_space_group_name_H-M_alt 'P 4/m m m'
_space_group_IT_number 123
_space_group_name_Hall '-P 4 2'
_cell_length_a 3.915
_cell_length_b 3.915
_cell_length_c 4.074
_cell_angle_alpha 90.00
_cell_angle_beta 90.00
_cell_angle_gamma 90.00
loop_
_atom_site_label
_atom_site_type_symbol
_atom_site_fract_x
_atom_site_fract_y
_atom_site_fract_z
Co1 Co 0.000 0.000 0.000
Os1 Os 0.000 0.500 0.500
Pb1 Pb 0.500 0.500 0.000
# Formation energy in eV per atom: 0.957
# Fermi-level density of states in states/eV/f.u.: 7.4

# Co2OsPb PBE relaxed
data_Co2OsPb
_chemical_formula_sum 'Co4 Os2 Pb2'
_space_group_name_H-M_alt 'C 1 2/m 1'
_space_group_IT_number 12
_cell_length_a 8.291
_cell_length_b 3.015
_cell_length_c 5.134
_cell_angle_alpha 90.00
_cell_angle_beta 100.10
_cell_angle_gamma 90.00
loop_
_space_group_symop_operation_xyz
'x,y,z'
'-x,-y,-z'
'-x,y,-z'
'x,-y,z'
'x+1/2,y+1/2,z'
'-x+1/2,-y+1/2,-z'
'-x+1/2,y+1/2,-z'
'x+1/2,-y+1/2,z'
loop_
_atom_site_label
_atom_site_type_symbol
_atom_site_fract_x
_atom_site_fract_y
_atom_site_fract_z
Co1 Co 0.236 0.000 0.181
Os1 Os 0.000 0.500 0.000
Pb1 Pb 0.000 0.000 0.500
# Formation energy in eV per atom: 0.668
# Fermi-level density of states in states/eV/f.u.: 4.9

# Co2OsPbSe PBE relaxed
data_Co2OsPbSe
_chemical_formula_sum 'Co2 Os1 Pb1 Se1'
_space_group_name_H-M_alt 'P 4/m m m'
_space_group_IT_number 123
_space_group_name_Hall '-P 4 2'
_cell_length_a 4.776
_cell_length_b 4.776
_cell_length_c 5.076
_cell_angle_alpha 90.00
_cell_angle_beta 90.00
_cell_angle_gamma 90.00
loop_
_atom_site_label
_atom_site_type_symbol
_atom_site_fract_x
_atom_site_fract_y
_atom_site_fract_z
Co1 Co 0.000 0.500 0.000
Os1 Os 0.000 0.000 0.500
Pb1 Pb 0.000 0.000 0.000
Se1 Se 0.500 0.500 0.500
# Fermi-level density of states in states/eV/f.u.: 11.4
# Formation energy (no corrections) in kcal/mol of atoms: 48.3

| no. | energy (eV per atom) | ρ (g/cm³) |
| --- | --- | --- |
| 1 | -5.596 | 14.9 |
| 2 | -7.687 | 16.8 |
| 3 | -5.456 | 14.5 |
| 4 | -6.634 | 13.9 |
| 5 | -5.587 | 14.8 |
| 6 | -7.361 | 17.2 |
| 7 | -6.619 | 13.5 |
| 8 | -4.432 | 8.5 |